PBE+U CrNiPt2O6, optimized geometry; symmetry = C2/c (15); DFT total energy = -6.067 eV/atom; calculated volume = 11.19 Å³/atom
1.0
6.269 -3.402 0.000
6.269 3.402 0.000
-1.646 0.000 5.249
Cr Ni Pt O
2 2 4 12
Direct
0.117 0.883 0.750
0.883 0.117 0.250
0.371 0.629 0.250
0.629 0.371 0.750
0.079 0.424 0.721
0.424 0.079 0.221
0.576 0.921 0.779
0.921 0.576 0.279
0.048 0.789 0.371
0.177 0.349 0.096
0.211 0.952 0.129
0.263 0.578 0.851
0.349 0.177 0.596
0.422 0.737 0.649
0.578 0.263 0.351
0.651 0.823 0.404
0.737 0.422 0.149
0.789 0.048 0.871
0.823 0.651 0.904
0.952 0.211 0.629